DFT (PBE) results for an optimized crystal structure of Cs3KW2S8.

Unit cell a=7.6225 b=7.6225 c=10.1698 alpha=90.00 beta=90.00 gamma=120.00
Space group P-3m1 (No. 164)
Inequivalent atoms, fractional coordinates:
Cs 0.0000 0.0000 0.0000
Cs 0.3333 0.6667 0.6583
K 0.0000 0.0000 0.5000
W 0.3333 0.6667 0.2223
S 0.1755 0.3509 0.2959
S 0.3333 0.6667 0.0079

Summary:
ΔE_f (raw): -23.13 kcal/mol of atoms
Density: 3.4 g cm⁻³
Electronic total energy: -5.47 eV/atom